Entry 1:
VASP calculation (GGA-PBE) on crystalline LaFe2Ag at its relaxed geometry.

Properties
The formation enthalpy at 0 K comes out at 0.43 eV/atom. As for the volume: 78.5 Å³ per cell. For the total energy, the calculation gives -0.423 Ry per atom.

a = 4.806 Å, b = 4.806 Å, c = 4.806 Å
α = 60.00°, β = 60.00°, γ = 60.00°
Last column: magnetic moment on the atom in μB.
Fractional coordinates of all 4 atoms:
Ag: 0.500 0.500 0.500  0.00
Fe: 0.000 0.000 0.000  2.59
Fe: 0.250 0.250 0.250  2.99
La: 0.750 0.750 0.750  -0.12


Entry 2:
VASP calculation (GGA-PBE) on crystalline La2FeAg2 at its relaxed geometry.

Properties
The formation enthalpy at 0 K comes out at 0.29 eV/atom. As for the volume: 244.7 Å³ per cell. For the total energy, the calculation gives -0.332 Ry per atom.

a = 7.304 Å, b = 7.304 Å, c = 4.587 Å
α = 90.00°, β = 90.00°, γ = 90.00°
Fractional coordinates of all 10 atoms:
Fe: 0.000 0.000 0.000
Fe: 0.500 0.500 0.000
Ag: 0.366 0.866 0.000
Ag: 0.866 0.634 0.000
Ag: 0.634 0.134 0.000
Ag: 0.134 0.366 0.000
La: 0.182 0.682 0.500
La: 0.682 0.818 0.500
La: 0.818 0.318 0.500
La: 0.318 0.182 0.500


Entry 3:
VASP calculation (GGA-PBE) on crystalline La6Fe2Ag at its relaxed geometry.

Properties
The formation enthalpy at 0 K comes out at -0.02 eV/atom. As for the volume: 523.1 Å³ per cell. For the total energy, the calculation gives -0.404 Ry per atom.

a = 8.796 Å, b = 8.796 Å, c = 8.796 Å
α = 107.96°, β = 108.51°, γ = 111.97°
Last column: magnetic moment on the atom in μB.
Fractional coordinates of all 18 atoms:
La: 0.518 0.701 0.818  -0.12
La: 0.482 0.299 0.182  -0.12
La: 0.117 0.299 0.818  -0.12
La: 0.883 0.701 0.182  -0.12
La: 0.783 0.793 0.577  -0.09
La: 0.217 0.207 0.423  -0.09
La: 0.217 0.793 0.010  -0.09
La: 0.783 0.207 0.990  -0.09
La: 0.708 0.389 0.681  -0.11
La: 0.292 0.611 0.319  -0.11
La: 0.292 0.973 0.681  -0.11
La: 0.708 0.027 0.319  -0.11
Fe: 0.500 0.388 0.888  1.55
Fe: 0.500 0.612 0.112  1.55
Fe: 0.612 0.000 0.612  1.27
Fe: 0.388 0.000 0.388  1.27
Ag: 0.000 0.500 0.500  0.00
Ag: 0.000 0.000 0.000  0.00


Entry 4:
VASP calculation (GGA-PBE) on crystalline LaFe2Ag at its relaxed geometry.

Properties
The formation enthalpy at 0 K comes out at 0.47 eV/atom. As for the volume: 75.2 Å³ per cell. For the total energy, the calculation gives -0.419 Ry per atom.

a = 4.739 Å, b = 4.739 Å, c = 4.739 Å
α = 60.00°, β = 60.00°, γ = 60.00°
Last column: magnetic moment on the atom in μB.
Fractional coordinates of all 4 atoms:
Fe: 0.250 0.250 0.250  2.68
Fe: 0.750 0.750 0.750  2.68
Ag: 0.000 0.000 0.000  0.03
La: 0.500 0.500 0.500  -0.23


Entry 5:
VASP calculation (GGA-PBE) on crystalline La4FeAg2 at its relaxed geometry.

Properties
The formation enthalpy at 0 K comes out at -0.04 eV/atom. As for the volume: 210.1 Å³ per cell. For the total energy, the calculation gives -0.359 Ry per atom.

a = 5.099 Å, b = 5.099 Å, c = 8.847 Å
α = 106.75°, β = 106.75°, γ = 90.00°
Fractional coordinates of all 7 atoms:
Fe: 0.000 0.000 0.000
Ag: 0.633 0.633 0.267
Ag: 0.367 0.367 0.733
La: 0.822 0.822 0.645
La: 0.178 0.178 0.355
La: 0.000 0.500 0.000
La: 0.500 0.000 0.000


Entry 6:
VASP calculation (GGA-PBE) on crystalline LaFeAg3 at its relaxed geometry.

Properties
The formation enthalpy at 0 K comes out at 0.35 eV/atom. As for the volume: 119.5 Å³ per cell. For the total energy, the calculation gives -0.297 Ry per atom.

a = 4.926 Å, b = 4.926 Å, c = 4.926 Å
α = 90.00°, β = 90.00°, γ = 90.00°
Last column: magnetic moment on the atom in μB.
Fractional coordinates of all 5 atoms:
Fe: 0.000 0.000 0.000  2.81
Ag: 0.000 0.500 0.000  0.05
Ag: 0.000 0.000 0.500  0.08
Ag: 0.500 0.000 0.000  0.00
La: 0.500 0.500 0.500  -0.09


Entry 7:
VASP calculation (GGA-PBE) on crystalline LaFe2Ag at its relaxed geometry.

Properties
The formation enthalpy at 0 K comes out at 0.50 eV/atom. As for the volume: 76.0 Å³ per cell. For the total energy, the calculation gives -0.417 Ry per atom.

a = 9.272 Å, b = 9.272 Å, c = 9.272 Å
α = 19.28°, β = 19.28°, γ = 19.28°
Last column: magnetic moment on the atom in μB.
Fractional coordinates of all 4 atoms:
Ag: 0.736 0.736 0.736  0.02
Fe: 0.992 0.992 0.992  2.88
Fe: 0.266 0.266 0.266  2.63
La: 0.507 0.507 0.507  -0.27


Entry 8:
VASP calculation (GGA-PBE) on crystalline LaFeAg at its relaxed geometry.

Properties
The formation enthalpy at 0 K comes out at 0.17 eV/atom. As for the volume: 70.2 Å³ per cell. For the total energy, the calculation gives -0.385 Ry per atom.

a = 4.516 Å, b = 4.516 Å, c = 3.977 Å
α = 90.00°, β = 90.00°, γ = 120.00°
Last column: magnetic moment on the atom in μB.
Fractional coordinates of all 3 atoms:
Ag: 0.000 0.000 0.167  0.00
Fe: 0.667 0.333 0.167  2.62
La: 0.333 0.667 0.667  -0.26


Entry 9:
VASP calculation (GGA-PBE) on crystalline LaFeAg at its relaxed geometry.

Properties
The formation enthalpy at 0 K comes out at 0.36 eV/atom. As for the volume: 71.3 Å³ per cell. For the total energy, the calculation gives -0.371 Ry per atom.

a = 4.654 Å, b = 4.654 Å, c = 4.654 Å
α = 60.00°, β = 60.00°, γ = 60.00°
Last column: magnetic moment on the atom in μB.
Fractional coordinates of all 3 atoms:
Ag: 0.500 0.500 0.500  0.01
Fe: 0.750 0.750 0.750  2.16
La: 0.000 0.000 0.000  -0.14


Entry 10:
VASP calculation (GGA-PBE) on crystalline LaFe2Ag at its relaxed geometry.

Properties
The formation enthalpy at 0 K comes out at 0.46 eV/atom. As for the volume: 74.8 Å³ per cell. For the total energy, the calculation gives -0.420 Ry per atom.

a = 5.156 Å, b = 5.156 Å, c = 5.156 Å
α = 132.73°, β = 130.67°, γ = 70.72°
Last column: magnetic moment on the atom in μB.
Fractional coordinates of all 4 atoms:
Ag: 0.250 0.750 0.500  -0.04
Fe: 0.002 0.002 0.000  2.45
Fe: 0.498 0.498 0.000  2.45
La: 0.750 0.250 0.500  -0.23


Entry 11:
VASP calculation (GGA-PBE) on crystalline LaFe2Ag at its relaxed geometry.

Properties
The formation enthalpy at 0 K comes out at 0.41 eV/atom. As for the volume: 74.1 Å³ per cell. For the total energy, the calculation gives -0.424 Ry per atom.

a = 5.242 Å, b = 5.242 Å, c = 5.242 Å
α = 133.66°, β = 133.66°, γ = 67.61°
Last column: magnetic moment on the atom in μB.
Fractional coordinates of all 4 atoms:
Ag: 0.750 0.250 0.500  -0.05
Fe: 0.000 0.000 0.000  2.29
Fe: 0.250 0.750 0.500  2.59
La: 0.500 0.500 0.000  -0.24


Entry 12:
VASP calculation (GGA-PBE) on crystalline La2FeAg2 at its relaxed geometry.

Properties
The formation enthalpy at 0 K comes out at 0.42 eV/atom. As for the volume: 133.8 Å³ per cell. For the total energy, the calculation gives -0.322 Ry per atom.

a = 5.868 Å, b = 5.868 Å, c = 5.686 Å
α = 58.93°, β = 58.93°, γ = 90.00°
Fractional coordinates of all 5 atoms:
Fe: 0.000 0.000 0.000
Ag: 0.334 0.334 0.332
Ag: 0.666 0.666 0.668
La: 0.750 0.250 0.500
La: 0.250 0.750 0.500


What is the formula in the seventh record? LaFe2Ag


formation enthalpy at 0 K of number 3 (La6Fe2Ag)? -0.02 eV/atom